(1)
# ZrAlCr2 | the Alexandria database | PBE-GGA | optimized geometry
# **Theoretical density**: 5.7 g cm⁻³
# **DOS(E_F)**: 3.90 states/eV/cell
# **Electronic total energy**: -30.959 eV for the cell shown
# **Energy relative to the elements**: 0.145 eV/atom
data_ZrAlCr2
_chemical_formula_sum 'Zr1 Al1 Cr2'
_cell_length_a 5.1101
_cell_length_b 5.1101
_cell_length_c 5.1101
_cell_angle_alpha 135.40
_cell_angle_beta 135.40
_cell_angle_gamma 64.91
_symmetry_space_group_name_H-M 'P 1'
_symmetry_Int_Tables_number 1
loop_
_symmetry_equiv_pos_as_xyz
'x,y,z'
loop_
_atom_site_label
_atom_site_fract_x
_atom_site_fract_y
_atom_site_fract_z
Cr1 0.0000 0.0000 0.0000
Cr2 0.2500 0.7500 0.5000
Al1 0.7500 0.2500 0.5000
Zr1 0.5000 0.5000 0.0000

(2)
# NpScAg2O6 | the Alexandria database | PBE-GGA | optimized geometry
# **Raw formation energy**: -2.0106 eV/atom
# **Theoretical density**: 7.4 g cm⁻³
# **Electronic total energy**: -149.659 eV for the cell shown
data_NpScAg2O6
_chemical_formula_sum 'Np2 Sc2 Ag4 O12'
_cell_length_a 5.6582
_cell_length_b 5.7832
_cell_length_c 8.1157
_cell_angle_alpha 90.00
_cell_angle_beta 89.98
_cell_angle_gamma 90.00
_symmetry_space_group_name_H-M 'P 1'
_symmetry_Int_Tables_number 1
loop_
_symmetry_equiv_pos_as_xyz
'x,y,z'
loop_
_atom_site_label
_atom_site_fract_x
_atom_site_fract_y
_atom_site_fract_z
Np1 0.5000 0.0000 0.5000
Np2 0.0000 0.5000 0.0000
Sc1 0.5000 0.0000 0.0000
Sc2 0.0000 0.5000 0.5000
Ag1 0.0045 0.9801 0.2486
Ag2 0.5045 0.5199 0.7486
Ag3 0.9955 0.0199 0.7514
Ag4 0.4955 0.4801 0.2514
O1 0.2895 0.7024 0.0450
O2 0.7895 0.7976 0.5450
O3 0.7105 0.2976 0.9550
O4 0.2105 0.2024 0.4550
O5 0.3020 0.7117 0.4576
O6 0.8020 0.7883 0.9576
O7 0.6980 0.2883 0.5424
O8 0.1980 0.2117 0.0424
O9 0.9159 0.5236 0.2452
O10 0.4159 0.9764 0.7452
O11 0.0841 0.4764 0.7548
O12 0.5841 0.0236 0.2548

(3)
# Mn2SiTeP | the Alexandria database | PBE-GGA | optimized geometry
# **Raw formation energy**: 1.0120 eV/atom
# **Theoretical density**: 5.7 g cm⁻³
# **DOS(E_F)**: 7.63 states/eV/cell
# **Electronic total energy**: -27.254 eV for the cell shown
data_Mn2SiTeP
_chemical_formula_sum 'Mn2 Si1 Te1 P1'
_cell_length_a 4.4761
_cell_length_b 4.3022
_cell_length_c 4.4761
_cell_angle_alpha 90.00
_cell_angle_beta 90.00
_cell_angle_gamma 90.00
_symmetry_space_group_name_H-M 'P 1'
_symmetry_Int_Tables_number 1
loop_
_symmetry_equiv_pos_as_xyz
'x,y,z'
loop_
_atom_site_label
_atom_site_fract_x
_atom_site_fract_y
_atom_site_fract_z
P1 0.0000 0.5000 0.0000
Si1 0.0000 0.0000 0.0000
Te1 0.5000 0.5000 0.5000
Mn1 0.0000 0.0000 0.5000
Mn2 0.5000 0.0000 0.0000

(4)
# CeCuHgPb | the Alexandria database | PBE-GGA | optimized geometry
# **Theoretical density**: 10.6 g cm⁻³
# **DOS(E_F)**: 6.85 states/eV/cell
# **Electronic total energy**: -14.638 eV for the cell shown
# **Energy relative to the elements**: -0.150 eV/atom
data_CeCuHgPb
_chemical_formula_sum 'Ce1 Cu1 Hg1 Pb1'
_cell_length_a 5.1411
_cell_length_b 5.1411
_cell_length_c 5.1411
_cell_angle_alpha 60.00
_cell_angle_beta 60.00
_cell_angle_gamma 60.00
_symmetry_space_group_name_H-M 'P 1'
_symmetry_Int_Tables_number 1
loop_
_symmetry_equiv_pos_as_xyz
'x,y,z'
loop_
_atom_site_label
_atom_site_fract_x
_atom_site_fract_y
_atom_site_fract_z
Pb1 0.5000 0.5000 0.5000
Cu1 0.2500 0.2500 0.2500
Hg1 0.7500 0.7500 0.7500
Ce1 0.0000 0.0000 0.0000

(5)
# CuNi2Rh | the Alexandria database | PBE-GGA | optimized geometry
# **Theoretical density**: 9.7 g cm⁻³
# **DOS(E_F)**: 5.69 states/eV/cell
# **Electronic total energy**: -22.747 eV for the cell shown
# **Energy relative to the elements**: 0.066 eV/atom
data_CuNi2Rh
_chemical_formula_sum 'Cu1 Ni2 Rh1'
_cell_length_a 2.6203
_cell_length_b 2.6203
_cell_length_c 7.0664
_cell_angle_alpha 90.00
_cell_angle_beta 90.00
_cell_angle_gamma 90.00
_symmetry_space_group_name_H-M 'P 1'
_symmetry_Int_Tables_number 1
loop_
_symmetry_equiv_pos_as_xyz
'x,y,z'
loop_
_atom_site_label
_atom_site_fract_x
_atom_site_fract_y
_atom_site_fract_z
Ni1 0.0000 0.0000 0.0060
Ni2 0.5000 0.5000 0.2380
Rh1 0.0000 0.0000 0.4923
Cu1 0.5000 0.5000 0.7637

(6)
# NaNpPb2 | the Alexandria database | PBE-GGA | optimized geometry
# **Theoretical density**: 9.5 g cm⁻³
# **DOS(E_F)**: 7.25 states/eV/cell
# **Energy above the most stable polymorph in this dataset**: 169 meV/atom
# **Electronic total energy**: -20.832 eV for the cell shown
# **Energy relative to the elements**: 0.211 eV/atom
data_NaNpPb2
_chemical_formula_sum 'Na1 Np1 Pb2'
_cell_length_a 3.3904
_cell_length_b 3.3904
_cell_length_c 11.9742
_cell_angle_alpha 81.86
_cell_angle_beta 81.86
_cell_angle_gamma 60.00
_symmetry_space_group_name_H-M 'P 1'
_symmetry_Int_Tables_number 1
loop_
_symmetry_equiv_pos_as_xyz
'x,y,z'
loop_
_atom_site_label
_atom_site_fract_x
_atom_site_fract_y
_atom_site_fract_z
Np1 0.5000 0.5000 0.5000
Pb1 0.0871 0.0871 0.7388
Pb2 0.9129 0.9129 0.2612
Na1 0.0000 0.0000 0.0000